Below is a relaxed structure of Li3IrCl6, with properties calculated at the GGA-PBE level.

- Symmetry: Fmmm, No. 69
- VASP energy: -3.66 eV per atom
- N(E_F): 0.00 states/eV/atom
- Formation energy without anion corrections: -1096 meV/atom
- Calculated volume: 24.16 A^3/atom

Structure (POSCAR):
```
Li3IrCl6
1.0
-1.6696 -0.9888 -5.9606
4.4648 -4.3869 -0.3389
-5.4396 -1.5679 4.9879
Li Ir Cl
3 1 6
direct
0.7500 0.2500 0.5000
0.5000 0.5000 0.0000
0.2500 0.7500 0.5000
0.0000 0.0000 0.0000
0.6726 0.6726 0.7289
0.9437 0.9437 0.2711
0.0563 0.0563 0.7289
0.3274 0.3274 0.2711
0.7416 0.2584 0.0000
0.2584 0.7416 0.0000
```

***

Below is a relaxed structure of LiIr2Cl, with properties calculated at the GGA-PBE level.

- Symmetry: I-42d, No. 122
- VASP energy: -4.03 eV per atom
- N(E_F): 0.06 states/eV/atom
- Energy relative to the lowest polymorph listed for this composition: 1420.8 meV per atom
- Formation energy without anion corrections: 1343 meV/atom
- Calculated volume: 19.41 A^3/atom

Structure (POSCAR):
```
LiIr2Cl
1.0
5.8124 0.0000 0.0000
0.0000 5.8124 0.0000
2.9062 2.9062 4.5954
Ir Li Cl
4 2 2
direct
0.6649 0.1250 0.2500
0.0851 0.6250 0.2500
0.3750 0.3351 0.7500
0.8750 0.9149 0.7500
0.5000 0.5000 0.0000
0.2500 0.7500 0.5000
0.0000 0.0000 0.0000
0.7500 0.2500 0.5000
```

***

Below is a relaxed structure of LiIr2Cl, with properties calculated at the GGA-PBE level.

- Symmetry: C2/m, No. 12
- VASP energy: -5.45 eV per atom
- N(E_F): 0.65 states/eV/atom
- Energy relative to the lowest polymorph listed for this composition: 0.0 meV per atom
- Formation energy without anion corrections: -77 meV/atom
- Calculated volume: 16.92 A^3/atom

Structure (POSCAR):
```
LiIr2Cl
1.0
-0.0297 -4.6621 -4.4316
2.7420 -4.3052 -3.9142
-0.1626 -2.6581 2.7042
Cl Ir Li
1 2 1
direct
0.2500 0.2500 0.2500
0.0373 0.0373 0.9918
0.4627 0.4627 0.5082
0.7500 0.7500 0.7500
```